Entry 1:
## Mn3SnRh4 (PBE)

Data for a relaxed structure of Mn3SnRh4.

Properties
Energy (eV/atom): -7.9283

a = 4.372 Å, b = 4.372 Å, c = 6.936 Å
α = 108.37°, β = 108.37°, γ = 90.00°
Each line ends with the local moment (μB).
Atoms (fractional coordinates):
Mn 0.000 0.500 0.000  3.69
Mn 0.752 0.252 0.504  3.63
Mn 0.248 0.748 0.496  3.63
Rh 0.371 0.371 0.742  0.48
Rh 0.629 0.629 0.258  0.48
Rh 0.129 0.129 0.258  0.48
Rh 0.871 0.871 0.742  0.48
Sn 0.500 0.000 0.000  -0.05

Entry 2:
## Cs2Zn2H5 (PBE)

Data for a relaxed structure of Cs2Zn2H5.

Properties
Energy (eV/atom): -2.3553

a = 4.186 Å, b = 5.920 Å, c = 7.303 Å
α = 106.44°, β = 90.00°, γ = 110.70°
Atoms (fractional coordinates):
Cs 0.412 0.824 0.688
Cs 0.588 0.176 0.312
Zn 0.162 0.324 0.930
Zn 0.838 0.676 0.070
H 0.329 0.659 0.029
H 0.671 0.341 0.971
H 0.130 0.259 0.689
H 0.870 0.741 0.311
H 0.000 0.000 0.000